No. 1
First-principles (PBE) data for a relaxed structure of TbGd2Co2C2N3, as listed in OQMD.

Values from the calculation:
The value obtained for the total energy is -8.058 eV/atom.

abc: 10.0478 10.0478 10.0478
angles: 160.08 160.08 28.31
Atoms (fractional coordinates):
C 0.1940 0.1940 0.0000
C 0.8060 0.8060 0.0000
Co 0.7500 0.2500 0.5000
Co 0.2500 0.7500 0.5000
Gd 0.3723 0.3723 0.0000
Gd 0.6277 0.6277 0.0000
N 0.1209 0.1209 0.0000
N 0.5000 0.5000 0.0000
N 0.8791 0.8791 0.0000
Tb 0.0000 0.0000 0.0000

***

No. 2
First-principles (PBE) data for a relaxed structure of Pr2Re2OsC5, as listed in OQMD.

Values from the calculation:
The value obtained for the total energy is -8.896 eV/atom.

abc: 5.7064 5.7064 7.7398
angles: 121.80 121.80 40.85
Atoms (fractional coordinates):
C 0.5422 0.3686 0.0546
C 0.3476 0.9514 0.3183
C 0.7056 0.2944 0.5000
C 0.0486 0.6524 0.6817
C 0.6314 0.4578 0.9454
Os 0.0648 0.9352 0.0000
Pr 0.0514 0.6423 0.2354
Pr 0.3577 0.9486 0.7646
Re 0.8413 0.4244 0.4033
Re 0.5756 0.1587 0.5967

***

No. 3
First-principles (PBE) data for a relaxed structure of HfBeOsPb, as listed in OQMD.

Values from the calculation:
For the distance to the lowest polymorph of the same formula, the calculation gives 0.156 eV per atom.

abc: 4.6197 4.6197 4.6197
angles: 60.00 60.00 60.00
Atoms (fractional coordinates):
Be 0.7500 0.7500 0.7500
Hf 0.2500 0.2500 0.2500
Os 0.0000 0.0000 0.0000
Pb 0.5000 0.5000 0.5000